Record 1
Crystalline GaPb2Au6 at its relaxed geometry, computed with GGA-PBE.

**Space group**: C2/m
**Energy**: -30.9 eV/cell

Geometry as POSCAR:
```
GaPb2Au6
1.0
5.1518 -2.9788 0.0000
5.1518 2.9788 0.0000
-0.0190 0.0000 6.2579
Ga Pb Au
1 2 6
Cartesian
0.0000 0.0000 0.0000 Ga
3.4325 0.0000 0.8275 Pb
6.8522 0.0000 5.4303 Pb
1.7639 0.0000 4.2857 Au
4.2463 1.4339 4.2798 Au
6.0383 1.4339 1.9781 Au
4.2463 -1.4339 4.2798 Au
6.0383 -1.4339 1.9781 Au
8.5207 0.0000 1.9722 Au
```


Record 2
Crystalline Ga2PbAu3 at its relaxed geometry, computed with GGA-PBE.

**E above lowest polymorph**: 0.00 eV/f.u.
**Space group**: Pmmn
**Energy**: -41.1 eV/cell

Geometry as POSCAR:
```
Ga2PbAu3
1.0
3.8030 0.0000 0.0000
0.0000 13.1588 0.0000
0.0000 0.0000 5.1846
Ga Pb Au
4 2 6
Cartesian
0.9508 0.8181 0.8483 Ga
0.9508 5.7613 0.8483 Ga
2.8523 7.3975 4.3364 Ga
2.8523 12.3407 4.3364 Ga
0.9508 9.8691 0.9128 Pb
2.8523 3.2897 4.2718 Pb
0.9508 0.8953 3.4649 Au
0.9508 3.2897 1.7209 Au
0.9508 5.6841 3.4649 Au
2.8523 7.4747 1.7197 Au
2.8523 9.8691 3.4637 Au
2.8523 12.2635 1.7197 Au
```